DFT (PBE) results for an optimized crystal structure of TlSCl2.

Unit cell a=5.671 b=5.671 c=16.294 alpha=90.00 beta=90.00 gamma=90.00
Space group I-42d (No. 122)
Unique sites:
Tl1 0.000 0.000 0.000 (multiplicity 4)
S1 0.000 0.000 0.500 (multiplicity 4)
Cl1 0.137 0.250 0.625 (multiplicity 8)

Computed properties:
Density of states at the Fermi level ... 8.51 states/eV per cell
Formation energy from raw total energies ... -0.019 eV per atom
Polymorph energy (0 for the lowest one) ... 0.167 eV/atom